# GGA-PBE Pm2PdSe, optimized geometry
# - VASP energy: -5.8521 eV per atom
# - Energy above the lowest structure with this stoichiometry: 0 meV per atom
# - Energy relative to the elements, uncorrected: -1.3075 eV/atom
# - Total magnetization: 0.00 μB/f.u.
data_Pm2PdSe
_space_group_name_H-M_alt 'C m c m'
_space_group_IT_number 63
_space_group_name_Hall '-C 2c 2'
_cell_length_a 4.0036
_cell_length_b 23.3709
_cell_length_c 4.3544
_cell_angle_alpha 90.00
_cell_angle_beta 90.00
_cell_angle_gamma 90.00
loop_
_atom_site_label
_atom_site_fract_x
_atom_site_fract_y
_atom_site_fract_z
Pm1 0.0000 0.0638 0.2500
Pm2 0.0000 0.3167 0.2500
Pd1 0.0000 0.4580 0.2500
Se1 0.0000 0.1907 0.2500



# GGA-PBE LaMg3Cd, optimized geometry
# - VASP energy: -2.2555 eV per atom
# - Formation energy from the elements: -130 meV per atom
# - Energy above the lowest structure with this stoichiometry: 0 meV per atom
# - Total magnetization: 0.00 μB/f.u.
data_LaMg3Cd
_space_group_name_H-M_alt 'P 1 21/m 1'
_space_group_IT_number 11
_space_group_name_Hall '-P 2yb'
_cell_length_a 7.5754
_cell_length_b 4.7043
_cell_length_c 7.7527
_cell_angle_alpha 90.00
_cell_angle_beta 105.62
_cell_angle_gamma 90.00
loop_
_atom_site_label
_atom_site_fract_x
_atom_site_fract_y
_atom_site_fract_z
La1 0.1968 0.2500 0.1621
Mg1 0.0705 0.2500 0.6452
Mg2 0.3013 0.7500 0.8835
Mg3 0.3418 0.7500 0.5147
Cd1 0.4658 0.2500 0.7542



# GGA-PBE Cs5Rb3Na4, optimized geometry
# - VASP energy: -1.0009 eV per atom
# - Formation energy from the elements: 36 meV per atom
# - Total magnetization: 0.00 μB/f.u.
data_Cs5Rb3Na4
_space_group_name_H-M_alt 'P -1'
_space_group_IT_number 2
_space_group_name_Hall '-P 1'
_cell_length_a 8.9067
_cell_length_b 9.0583
_cell_length_c 12.9809
_cell_angle_alpha 92.81
_cell_angle_beta 99.74
_cell_angle_gamma 108.42
loop_
_atom_site_label
_atom_site_fract_x
_atom_site_fract_y
_atom_site_fract_z
Cs1 0.0000 0.0000 0.0000
Cs2 0.0933 0.3303 0.3780
Cs3 0.3730 0.2462 0.7228
Rb1 0.0000 0.5000 0.0000
Rb2 0.4571 0.7651 0.8757
Na1 0.1812 0.8615 0.3216
Na2 0.4357 0.8054 0.5600



# GGA-PBE In4PtCl2, optimized geometry
# - VASP energy: -3.4839 eV per atom
# - Energy relative to the elements, uncorrected: -0.5285 eV/atom
# - Total magnetization: 0.00 μB/f.u.
data_In4PtCl2
_space_group_name_H-M_alt 'I 4/m m m'
_space_group_IT_number 139
_space_group_name_Hall '-I 4 2'
_cell_length_a 5.2242
_cell_length_b 5.2242
_cell_length_c 16.2330
_cell_angle_alpha 90.00
_cell_angle_beta 90.00
_cell_angle_gamma 90.00
loop_
_atom_site_label
_atom_site_fract_x
_atom_site_fract_y
_atom_site_fract_z
In1 0.0000 0.0000 0.1665
In2 0.0000 0.5000 0.0000
Pt1 0.0000 0.0000 0.0000
Cl1 0.0000 0.0000 0.3538



# GGA-PBE PuSc6In5, optimized geometry
# - VASP energy: -5.8408 eV per atom
# - Formation energy from the elements: -340 meV per atom
# - Total magnetization: 9.00 μB/f.u.
data_PuSc6In5
_space_group_name_H-M_alt 'I m m m'
_space_group_IT_number 71
_space_group_name_Hall '-I 2 2'
_cell_length_a 4.9997
_cell_length_b 7.3565
_cell_length_c 15.1046
_cell_angle_alpha 90.00
_cell_angle_beta 90.00
_cell_angle_gamma 90.00
loop_
_atom_site_label
_atom_site_fract_x
_atom_site_fract_y
_atom_site_fract_z
Pu1 0.0000 0.0000 0.0000
Sc1 0.0000 0.2373 0.5000
Sc2 0.0000 0.2517 0.1662
In1 0.0000 0.0000 0.3298
In2 0.0000 0.5000 0.0000
In3 0.0000 0.5000 0.3421



# GGA-PBE Zn2FeNi, optimized geometry
# - VASP energy: -3.8998 eV per atom
# - Formation energy from the elements: 298 meV per atom
# - Total magnetization: 2.67 μB/f.u.
data_Zn2FeNi
_space_group_name_H-M_alt 'I -4 2 d'
_space_group_IT_number 122
_space_group_name_Hall 'I -4 2bw'
_cell_length_a 6.6539
_cell_length_b 6.6539
_cell_length_c 5.0044
_cell_angle_alpha 90.00
_cell_angle_beta 90.00
_cell_angle_gamma 90.00
loop_
_atom_site_label
_atom_site_fract_x
_atom_site_fract_y
_atom_site_fract_z
Zn1 0.2401 0.2500 0.1250
Fe1 0.0000 0.0000 0.5000
Ni1 0.0000 0.0000 0.0000



# GGA-PBE SrBeZnAu2, optimized geometry
# - VASP energy: -2.9743 eV per atom
# - Formation energy from the elements: -327 meV per atom
# - Total magnetization: 0.00 μB/f.u.
data_SrBeZnAu2
_space_group_name_H-M_alt 'P 4/m m m'
_space_group_IT_number 123
_space_group_name_Hall '-P 4 2'
_cell_length_a 4.7333
_cell_length_b 4.7333
_cell_length_c 4.5214
_cell_angle_alpha 90.00
_cell_angle_beta 90.00
_cell_angle_gamma 90.00
loop_
_atom_site_label
_atom_site_fract_x
_atom_site_fract_y
_atom_site_fract_z
Sr1 0.0000 0.0000 0.0000
Be1 0.5000 0.5000 0.5000
Zn1 0.5000 0.5000 0.0000
Au1 0.0000 0.5000 0.5000



# GGA-PBE Li2PdPb, optimized geometry
# - VASP energy: -3.5329 eV per atom
# - Formation energy from the elements: -351 meV per atom
# - Total magnetization: 0.00 μB/f.u.
data_Li2PdPb
_space_group_name_H-M_alt 'P 4/m m m'
_space_group_IT_number 123
_space_group_name_Hall '-P 4 2'
_cell_length_a 3.4237
_cell_length_b 3.4237
_cell_length_c 5.8872
_cell_angle_alpha 90.00
_cell_angle_beta 90.00
_cell_angle_gamma 90.00
loop_
_atom_site_label
_atom_site_fract_x
_atom_site_fract_y
_atom_site_fract_z
Li1 0.0000 0.0000 0.2136
Pd1 0.5000 0.5000 0.0000
Pb1 0.5000 0.5000 0.5000



# GGA-PBE BeSbTe2, optimized geometry
# - VASP energy: -2.9550 eV per atom
# - Energy above the lowest structure with this stoichiometry: 551 meV per atom
# - Energy relative to the elements, uncorrected: 0.5780 eV/atom
# - Total magnetization: 0.00 μB/f.u.
data_BeSbTe2
_space_group_name_H-M_alt 'P 4/m m m'
_space_group_IT_number 123
_space_group_name_Hall '-P 4 2'
_cell_length_a 5.1867
_cell_length_b 5.1867
_cell_length_c 3.6398
_cell_angle_alpha 90.00
_cell_angle_beta 90.00
_cell_angle_gamma 90.00
loop_
_atom_site_label
_atom_site_fract_x
_atom_site_fract_y
_atom_site_fract_z
Be1 0.0000 0.0000 0.0000
Sb1 0.5000 0.5000 0.0000
Te1 0.0000 0.5000 0.5000



# GGA-PBE Dy2YMg, optimized geometry
# - VASP energy: -4.2902 eV per atom
# - Formation energy from the elements: 26 meV per atom
# - Energy above the lowest structure with this stoichiometry: 59 meV per atom
# - Total magnetization: 0.00 μB/f.u.
data_Dy2YMg
_space_group_name_H-M_alt 'P 4/m m m'
_space_group_IT_number 123
_space_group_name_Hall '-P 4 2'
_cell_length_a 4.9029
_cell_length_b 4.9029
_cell_length_c 4.9285
_cell_angle_alpha 90.00
_cell_angle_beta 90.00
_cell_angle_gamma 90.00
loop_
_atom_site_label
_atom_site_fract_x
_atom_site_fract_y
_atom_site_fract_z
Dy1 0.0000 0.5000 0.0000
Y1 0.0000 0.0000 0.5000
Mg1 0.5000 0.5000 0.5000



# GGA-PBE Pm3HfAl8, optimized geometry
# - VASP energy: -4.9680 eV per atom
# - Formation energy from the elements: -456 meV per atom
# - Total magnetization: 0.00 μB/f.u.
data_Pm3HfAl8
_space_group_name_H-M_alt 'R 3 m'
_space_group_IT_number 160
_space_group_name_Hall 'R 3 -2"'
_cell_length_a 5.5620
_cell_length_b 5.5620
_cell_length_c 27.3117
_cell_angle_alpha 90.00
_cell_angle_beta 90.00
_cell_angle_gamma 120.00
loop_
_atom_site_label
_atom_site_fract_x
_atom_site_fract_y
_atom_site_fract_z
Pm1 0.0000 0.0000 0.0000
Pm2 0.0000 0.0000 0.1256
Pm3 0.0000 0.0000 0.6245
Hf1 0.0000 0.0000 0.5000
Al1 0.0000 0.0000 0.3122
Al2 0.0000 0.0000 0.8131
Al3 0.0023 0.5011 0.0651
Al4 0.1672 0.3343 0.8937



# GGA-PBE Th2Al4Cu3Rh, optimized geometry
# - VASP energy: -5.4641 eV per atom
# - Formation energy from the elements: -519 meV per atom
# - Total magnetization: 0.00 μB/f.u.
data_Th2Al4Cu3Rh
_space_group_name_H-M_alt 'P -4 m 2'
_space_group_IT_number 115
_space_group_name_Hall 'P -4 -2'
_cell_length_a 4.2652
_cell_length_b 4.2652
_cell_length_c 10.0495
_cell_angle_alpha 90.00
_cell_angle_beta 90.00
_cell_angle_gamma 90.00
loop_
_atom_site_label
_atom_site_fract_x
_atom_site_fract_y
_atom_site_fract_z
Th1 0.0000 0.5000 0.2424
Al1 0.0000 0.0000 0.5000
Al2 0.0000 0.5000 0.8727
Al3 0.5000 0.5000 0.5000
Cu1 0.0000 0.0000 0.0000
Cu2 0.0000 0.5000 0.6302
Rh1 0.5000 0.5000 0.0000